Material: Pr2Dy2Th15
Method: DFT, PBE
State: relaxed

Cell lengths 8.7739, 8.7739, 8.7739 Å; angles 82.18, 82.18, 82.18 degrees
Positions (direct):
Pr1 0.1596 0.1596 0.1596
Pr2 0.8404 0.8404 0.8404
Dy1 0.3994 0.3994 0.3994
Dy2 0.6006 0.6006 0.6006
Th1 0.0000 0.5000 0.5000
Th2 0.1545 0.1545 0.6731
Th3 0.1545 0.6731 0.1545
Th4 0.1978 0.5000 0.8022
Th5 0.1978 0.8022 0.5000
Th6 0.3269 0.8455 0.8455
Th7 0.5000 0.0000 0.5000
Th8 0.5000 0.1978 0.8022
Th9 0.5000 0.5000 0.0000
Th10 0.5000 0.8022 0.1978
Th11 0.6731 0.1545 0.1545
Th12 0.8022 0.1978 0.5000
Th13 0.8022 0.5000 0.1978
Th14 0.8455 0.3269 0.8455
Th15 0.8455 0.8455 0.3269

Results
formation energy: 5.0 eV per formula unit
magnetization: 0.00 μB/cell
E: -125.02 eV/cell
N(E_F): 37.80 states/eV/f.u.